# GGA-PBE Ho6SnP2Se3, relaxed
# - formation energy (no corrections) (meV per atom) = -1558.8
# - density of states at the Fermi level (states/eV/f.u.) = 4.6
# - space group = C2/m
# - uncorrected energy (eV/cell) = -71.45
# - size of the total moment (μB per formula unit) = 0.00
# - V (Å³/cell) = 292.37
data_Ho6SnP2Se3
_chemical_formula_sum 'Ho6 Sn1 P2 Se3'
_symmetry_space_group_name_H-M 'P 1'
_symmetry_Int_Tables_number 1
_cell_length_a 4.066
_cell_length_b 8.265
_cell_length_c 9.172
_cell_angle_alpha 103.09
_cell_angle_beta 102.81
_cell_angle_gamma 90.00
loop_
_symmetry_equiv_pos_as_xyz
'x,y,z'
loop_
_atom_site_label
_atom_site_type_symbol
_atom_site_fract_x
_atom_site_fract_y
_atom_site_fract_z
Ho1 Ho 0.330 0.896 0.659
Ho2 Ho 0.673 0.572 0.346
Ho3 Ho 0.670 0.104 0.341
Ho4 Ho 0.006 0.261 0.013
Ho5 Ho 0.994 0.739 0.987
Ho6 Ho 0.327 0.428 0.654
Sn1 Sn 0.500 0.000 0.000
P1 P 0.832 0.663 0.663
P2 P 0.168 0.337 0.337
Se1 Se 0.500 0.500 0.000
Se2 Se 0.835 0.168 0.670
Se3 Se 0.165 0.832 0.330